Material: Mo2OsWN
Method: DFT, GGA-PBE
State: optimized geometry

Summary:
Density of states at the Fermi level = 0.64 states/eV per atom
Total moment = 0.00 μB per cell
Energy relative to the elements, uncorrected = -0.04 eV per atom

Cell: 4.0961 4.0961 4.0988 Å, 90.00 90.00 90.00°
Closest atoms and distances in Å follow each position.
Sites, in units of the cell vectors:
W  0.0000  0.0000  0.5000  2 N 2.05
Mo  0.5000  0.0000  0.0000  2 N 2.05
N  0.0000  0.0000  0.0000  4 Mo 2.05, 2 W 2.05
Mo  0.0000  0.5000  0.0000  2 N 2.05
Os  0.5000  0.5000  0.5000  4 W 2.90, 8 Mo 2.90